{
  "formula": "BaMgIn2",
  "functional": "SCAN",
  "state": "PBEsol geometry",
  "sg": "P4mm, No. 99",
  "delta_e_f_mev_per_atom": -243,
  "lattice_angstrom": [[-2.521, 2.908, 0.273], [-2.216, -1.670, -2.676], [-3.948, -3.962, 5.741]],
  "species": ["In", "Ba", "In", "Mg"],
  "fractional_positions": [[0.500, 0.500, 0.257], [0.500, 0.500, 0.757], [0.000, 0.000, 0.048], [0.000, 0.000, 0.439]]
}

{
  "formula": "IrPb2",
  "functional": "SCAN",
  "state": "PBEsol geometry",
  "sg": "P6/mmm, No. 191",
  "delta_e_f_mev_per_atom": 1004,
  "lattice_angstrom": [[-0.884, -1.278, 2.596], [4.102, -3.000, -0.080], [0.207, 4.527, 2.300]],
  "species": ["Pb", "Pb", "Ir"],
  "fractional_positions": [[0.000, 0.667, 0.333], [0.000, 0.333, 0.667], [0.500, 0.000, 0.000]]
}

{
  "formula": "LiZrSc2",
  "functional": "SCAN",
  "state": "PBEsol geometry",
  "sg": "P4mm, No. 99",
  "relative_energy_mev_per_atom": 73,
  "delta_e_f_mev_per_atom": 146,
  "lattice_angstrom": [[-2.652, -1.663, 0.165], [1.141, -2.027, -2.101], [3.459, -4.866, 6.573]],
  "species": ["Sc", "Li", "Sc", "Zr"],
  "fractional_positions": [[0.500, 0.500, 0.261], [0.500, 0.500, 0.746], [0.000, 0.000, 0.992], [0.000, 0.000, 0.501]]
}

{
  "formula": "ZnSi2SnO6",
  "functional": "SCAN",
  "state": "PBEsol geometry",
  "sg": "C2/c, No. 15",
  "relative_energy_mev_per_atom": 0,
  "formation_energy_uncorrected_ev_per_fu": -23.5,
  "lattice_angstrom": [[5.466, 0.008, 0.008], [1.887, 7.009, 0.155], [1.887, 0.239, 7.006]],
  "species": ["Si", "O", "Si", "O", "O", "O", "O", "O", "Zn", "Sn", "O", "Sn", "O", "Zn", "O", "O", "O", "Si", "Si", "O"],
  "fractional_positions": [[0.720, 0.177, 0.366], [0.960, 0.279, 0.264], [0.280, 0.823, 0.634], [0.617, 0.228, 0.592], [0.835, 0.950, 0.336], [0.460, 0.264, 0.279], [0.383, 0.772, 0.408], [0.165, 0.050, 0.664], [0.250, 0.283, 0.717], [0.250, 0.853, 0.147], [0.883, 0.408, 0.772], [0.750, 0.147, 0.853], [0.335, 0.336, 0.950], [0.750, 0.717, 0.283], [0.117, 0.592, 0.228], [0.540, 0.736, 0.721], [0.040, 0.721, 0.736], [0.780, 0.634, 0.823], [0.220, 0.366, 0.177], [0.665, 0.664, 0.050]]
}

{
  "formula": "LiZnGa2P",
  "functional": "SCAN",
  "state": "PBEsol geometry",
  "sg": "P4/mmm, No. 123",
  "delta_e_f_mev_per_atom": 371,
  "lattice_angstrom": [[4.634, 0.000, 0.000], [0.000, 4.896, 0.000], [0.000, 0.000, 4.896]],
  "species": ["P", "Zn", "Li", "Ga", "Ga"],
  "fractional_positions": [[0.000, 0.000, 0.000], [0.500, 0.000, 0.000], [0.500, 0.500, 0.500], [0.000, 0.000, 0.500], [0.000, 0.500, 0.000]]
}

{
  "formula": "Tl3BP",
  "functional": "SCAN",
  "state": "PBEsol geometry",
  "sg": "Pm-3m, No. 221",
  "delta_e_f_mev_per_atom": 1356,
  "lattice_angstrom": [[-2.531, -4.638, -0.378], [4.553, -2.380, -1.292], [0.961, -0.942, 5.123]],
  "species": ["B", "Tl", "Tl", "P", "Tl"],
  "fractional_positions": [[0.500, 0.500, 0.500], [0.000, 0.500, 0.000], [0.000, 0.000, 0.500], [0.000, 0.000, 0.000], [0.500, 0.000, 0.000]]
}

Density of states at the Fermi level across the listed records, respectively: 2.233, 2.628, 4.110, 0.000, 2.060, 5.250 states/eV/cell.